Entry from OQMD via LeMat-Bulk: a relaxed structure of AgSn5Pd3 (PBE).

Results
E in eV/atom: -4.447

Cell: 5.5455 5.5455 7.6622 Å, 90.00 90.00 120.00°
Positions (direct):
Pd 0.5000 0.5000 0.5000
Pd 0.5000 0.0000 0.5000
Pd 0.0000 0.5000 0.5000
Sn 0.3333 0.6667 0.8044
Sn 0.3333 0.6667 0.1956
Sn 0.6667 0.3333 0.1956
Sn 0.0000 0.0000 0.5000
Sn 0.6667 0.3333 0.8044
Ag 0.0000 0.0000 0.0000

---

Entry from OQMD via LeMat-Bulk: a relaxed structure of ScFeTcBi (PBE).

Results
E in eV/atom: -7.132
Energy relative to the lowest polymorph listed for this composition in eV/atom: 0.000

Cell: 4.5675 4.5675 4.5675 Å, 60.00 60.00 60.00°
Positions (direct):
Fe 0.7500 0.7500 0.7500
Tc 0.2500 0.2500 0.2500
Sc 0.5000 0.5000 0.5000
Bi 0.0000 0.0000 0.0000

---

Entry from OQMD via LeMat-Bulk: a relaxed structure of LiZnPd (PBE).

Results
E in eV/atom: -3.040

Cell: 4.1803 4.1803 4.1803 Å, 60.00 60.00 60.00°
Positions (direct):
Zn 0.7500 0.7500 0.7500
Pd 0.0000 0.0000 0.0000
Li 0.2500 0.2500 0.2500

---

Entry from OQMD via LeMat-Bulk: a relaxed structure of MgNbHgIr (PBE).

Results
E in eV/atom: -4.942
Energy relative to the lowest polymorph listed for this composition in eV/atom: 0.352

Cell: 4.6076 4.6076 4.6076 Å, 60.00 60.00 60.00°
Positions (direct):
Mg 0.7500 0.7500 0.7500
Nb 0.5000 0.5000 0.5000
Hg 0.2500 0.2500 0.2500
Ir 0.0000 0.0000 0.0000

---

Volume
In order: 22.67 16.84 17.22 17.29
Unit: A^3/atom